DFT (PBE-GGA) results for La4BiTe2S after structural relaxation.

Calculated values
space group	P2/m (10)
formation energy (no corrections)	-1.568	eV/atom

a b c (Å): 4.4840 7.8451 7.8615
angles (deg): 109.07 90.00 90.00
Last column: nearest neighbours and their distance in Å.
Element x y z (fractional)
Bi 0.0000 0.0000 0.0000  6 La 3.21-3.22
La 0.0000 0.2773 0.7757  2 S 3.03, 3 Te 3.20-3.37, 1 Bi 3.22
La 0.5000 0.7332 0.7634  1 S 3.01, 2 Te 3.19, 2 Bi 3.21
La 0.0000 0.7227 0.2243  2 S 3.03, 3 Te 3.20-3.37, 1 Bi 3.22
La 0.5000 0.2668 0.2366  1 S 3.01, 2 Te 3.19, 2 Bi 3.21
S 0.5000 0.5000 0.0000  6 La 3.01-3.03
Te 0.5000 0.0000 0.5000  6 La 3.37-3.39
Te 0.0000 0.5000 0.5000  6 La 3.19-3.20